{"formula": "Co2PtI", "functional": "PBE-GGA", "state": "relaxed", "total_magnetization_mub_per_cell": 10.0, "e_above_lowest_polymorph_mev_per_atom": 7, "formation_energy_uncorrected_ev_per_atom": 0.71, "sg": "No. 122", "cell": [[-2.888, 2.888, 5.648], [2.888, -2.888, 5.648], [2.888, 2.888, -5.648]], "species": ["Co", "Co", "Co", "Co", "Pt", "Pt", "I", "I"], "fractional_positions": [[0.093, 0.625, 0.968], [0.375, 0.343, 0.468], [0.657, 0.125, 0.032], [0.875, 0.907, 0.532], [0.000, 0.000, 0.000], [0.750, 0.250, 0.500], [0.250, 0.750, 0.500], [0.500, 0.500, 0.000]]}